(1)
Entry from the Alexandria database: a geometry-optimized Dy2PuInO8 structure (GGA-PBE).

Lattice parameters (Å, degrees): 5.0251 5.0234 6.9680 90.00 90.00 92.82
Site moments in Bohr magnetons follow the coordinates.
Fractional positions:
Dy  0.5000  0.5000  0.7426  -0.01
Dy  0.5000  0.5000  0.2574  -0.01
Pu  0.0000  0.0000  0.0000  1.42
In  0.0000  0.0000  0.5000  0.00
O  0.1849  0.8140  0.2195  -0.06
O  0.7108  0.7121  0.0000  -0.06
O  0.8152  0.1860  0.2196  -0.06
O  0.8151  0.1860  0.7805  -0.06
O  0.2892  0.2879  0.0000  -0.06
O  0.1848  0.8140  0.7804  -0.06
O  0.7040  0.7047  0.5000  -0.01
O  0.2960  0.2953  0.5000  -0.01

Computed properties:
As for the space group: Cmmm.

***

(2)
Entry from the Alexandria database: a geometry-optimized Rb3Dy2InO6 structure (GGA-PBE).

Lattice parameters (Å, degrees): 6.0162 6.0162 6.8508 98.41 98.41 120.00
Fractional positions:
Rb  0.1648  0.8352  0.5000
Rb  0.8352  0.1648  0.5000
Rb  0.5000  0.5000  0.5000
Dy  0.3333  0.6667  0.0000
Dy  0.6667  0.3333  0.0000
In  0.0000  0.0000  0.0000
O  0.9410  0.6108  0.8229
O  0.7289  0.7289  0.1769
O  0.0590  0.3892  0.1771
O  0.6108  0.9410  0.8229
O  0.2711  0.2711  0.8231
O  0.3892  0.0590  0.1771

Computed properties:
As for the space group: C2/m.

***

(3)
Entry from the Alexandria database: a geometry-optimized DyIn2RuO8 structure (GGA-PBE).

Lattice parameters (Å, degrees): 4.9498 4.9452 6.5919 90.00 90.00 90.96
Site moments in Bohr magnetons follow the coordinates.
Fractional positions:
Dy  0.0000  0.0000  0.5000  0.04
In  0.5000  0.5000  0.7523  0.01
In  0.5000  0.5000  0.2477  0.01
Ru  0.0000  0.0000  0.0000  0.72
O  0.1845  0.8143  0.2107  0.08
O  0.7165  0.7176  0.0000  -0.03
O  0.8155  0.1857  0.2107  0.08
O  0.8155  0.1857  0.7893  0.08
O  0.2835  0.2824  0.0000  -0.03
O  0.1845  0.8143  0.7893  0.08
O  0.6893  0.6903  0.5000  0.04
O  0.3107  0.3097  0.5000  0.04

Computed properties:
As for the space group: Cmmm.

***

(4)
Entry from the Alexandria database: a geometry-optimized DyScIn2O6 structure (GGA-PBE).

Lattice parameters (Å, degrees): 5.5825 5.5825 5.9076 61.81 61.81 60.00
Fractional positions:
Dy  0.8063  0.8063  0.5811
Sc  0.3129  0.3129  0.0614
In  0.5251  0.5251  0.4246
In  0.0215  0.0215  0.9354
O  0.6074  0.2188  0.2466
O  0.2188  0.9272  0.2467
O  0.9272  0.6074  0.2466
O  0.4039  0.7073  0.7576
O  0.7073  0.1311  0.7576
O  0.1311  0.4039  0.7576

Computed properties:
As for the space group: R3.

***

(5)
Entry from the Alexandria database: a geometry-optimized Dy2ScInO structure (GGA-PBE).

Lattice parameters (Å, degrees): 4.4678 4.7972 4.7972 90.00 90.00 90.00
Fractional positions:
Dy  0.0000  0.0000  0.5000
Dy  0.0000  0.5000  0.0000
Sc  0.5000  0.0000  0.0000
In  0.5000  0.5000  0.5000
O  0.0000  0.0000  0.0000

Computed properties:
As for the space group: P4/mmm.

***

(6)
Entry from the Alexandria database: a geometry-optimized DyInSeO2 structure (GGA-PBE).

Lattice parameters (Å, degrees): 4.1134 6.7662 7.5230 115.79 90.00 90.00
Fractional positions:
Dy  0.2500  0.6748  0.9401
Dy  0.7500  0.3252  0.0599
In  0.2500  0.6690  0.4485
In  0.7500  0.3310  0.5515
Se  0.2500  0.0209  0.7739
Se  0.7500  0.9791  0.2261
O  0.7500  0.5410  0.3912
O  0.2500  0.4590  0.6088
O  0.7500  0.5094  0.8724
O  0.2500  0.4906  0.1276

Computed properties:
As for the space group: P2_1/m.

***

For the records above, the corresponding volume values read 14.64, 17.11, 13.44, 13.36, 20.56, 18.85 Å³/atom.
For the records above, the corresponding ΔE_f (raw) values read -2.65, -2.27, -1.54, -2.52, -1.43, -2.12 eV per atom.
For the records above, the corresponding E_tot values read -8.14, -5.99, -6.45, -7.13, -6.08, -6.27 eV per atom.